This record from Alexandria via LeMat-Bulk describes a geometry-optimized RbAc2PaO6 structure. The functional is PBE.

## Properties
- raw formation energy (eV/atom) = -3.188
- DFT total energy (eV per cell) = -80.3

CIF file:
```
data_RbAc2PaO6
_symmetry_space_group_name_H-M 'P 1'
_symmetry_Int_Tables_number 1
_cell_length_a 6.698
_cell_length_b 6.698
_cell_length_c 6.698
_cell_angle_alpha 57.34
_cell_angle_beta 57.34
_cell_angle_gamma 57.34
loop_
_symmetry_equiv_pos_as_xyz
'x,y,z'
loop_
_atom_site_label
_atom_site_type_symbol
_atom_site_fract_x
_atom_site_fract_y
_atom_site_fract_z
Rb1 Rb 0.000 0.000 0.000
Ac1 Ac 0.257 0.257 0.257
Ac2 Ac 0.771 0.771 0.771
Pa1 Pa 0.466 0.466 0.466
O1 O 0.102 0.599 0.433
O2 O 0.208 0.535 0.831
O3 O 0.433 0.102 0.599
O4 O 0.535 0.831 0.208
O5 O 0.599 0.433 0.102
O6 O 0.831 0.208 0.535
```